Model one:
SrTaNi: optimized geometry, PBE.

a b c (Å): 3.321 3.321 12.246
angles (deg): 90.00 90.00 90.00
Space group I4mm (No. 107)
One atom of each set of equivalent atoms:
Sr  0.000  0.000  0.000 x2
Ta  0.000  0.000  0.726 x2
Ni  0.000  0.000  0.298 x2

- M_tot: 0.0 μB per cell

Model two:
SrTaNi: optimized geometry, PBE.

a b c (Å): 6.560 6.560 6.560
angles (deg): 90.00 90.00 90.00
Space group F-43m (No. 216)
One atom of each set of equivalent atoms:
Sr  0.000  0.000  0.000 x4
Ta  0.000  0.000  0.500 x4
Ni  0.250  0.250  0.250 x4

- M_tot: 3.7 μB per cell

Model three:
SrTaNi: optimized geometry, PBE.

a b c (Å): 6.533 6.533 6.533
angles (deg): 90.00 90.00 90.00
Space group F-43m (No. 216)
One atom of each set of equivalent atoms:
Sr  0.000  0.000  0.000 x4
Ta  0.250  0.250  0.750 x4
Ni  0.250  0.250  0.250 x4

- M_tot: 0.2 μB per cell

The structure with the least stability is model three.

Model one:
SrTaNi3: optimized geometry, PBE.

a b c (Å): 4.586 4.586 4.586
angles (deg): 90.00 90.00 90.00
Space group Pm-3m (No. 221)
One atom of each set of equivalent atoms:
Sr  0.000  0.000  0.000 x1
Ta  0.500  0.500  0.500 x1
Ni  0.000  0.000  0.500 x3

- M_tot: 2.6 μB per cell

Model two:
SrTaNi3: optimized geometry, PBE.

a b c (Å): 4.707 4.707 4.707
angles (deg): 90.00 90.00 90.00
Space group Pm-3m (No. 221)
One atom of each set of equivalent atoms:
Sr  0.000  0.000  0.000 x1
Ta  0.500  0.500  0.500 x1
Ni  0.000  0.500  0.500 x3

- M_tot: 0.0 μB per cell

The structure with the least stability is model one.

Model one:
SrTa3Ni: optimized geometry, PBE.

a b c (Å): 4.806 4.806 4.806
angles (deg): 90.00 90.00 90.00
Space group Pm-3m (No. 221)
One atom of each set of equivalent atoms:
Sr  0.000  0.000  0.000 x1
Ta  0.000  0.500  0.500 x3
Ni  0.500  0.500  0.500 x1

- M_tot: 0.0 μB per cell

Model two:
SrTa3Ni: optimized geometry, PBE.

a b c (Å): 4.805 4.805 4.805
angles (deg): 90.00 90.00 90.00
Space group Pm-3m (No. 221)
One atom of each set of equivalent atoms:
Sr  0.000  0.000  0.000 x1
Ta  0.000  0.000  0.500 x3
Ni  0.500  0.500  0.500 x1

- M_tot: 0.0 μB per cell

The structure with the least stability is model two.

Model one:
Sr3TaNi: optimized geometry, PBE.

a b c (Å): 5.837 5.837 5.837
angles (deg): 90.00 90.00 90.00
Space group Pm-3m (No. 221)
One atom of each set of equivalent atoms:
Sr  0.000  0.000  0.500 x3
Ta  0.000  0.000  0.000 x1
Ni  0.500  0.500  0.500 x1

- M_tot: 0.0 μB per cell

Model two:
Sr3TaNi: optimized geometry, PBE.

a b c (Å): 5.639 5.639 5.639
angles (deg): 90.00 90.00 90.00
Space group Pm-3m (No. 221)
One atom of each set of equivalent atoms:
Sr  0.000  0.000  0.500 x3
Ta  0.500  0.500  0.500 x1
Ni  0.000  0.000  0.000 x1

- M_tot: 4.0 μB per cell

The structure with the least stability is model one.

Model one:
SrTb2Ni: optimized geometry, PBE.

a b c (Å): 3.507 3.507 9.686
angles (deg): 90.00 90.00 90.00
Space group P4/mmm (No. 123)
One atom of each set of equivalent atoms:
Sr  0.000  0.000  0.000 x1
Tb  0.500  0.500  0.337 x2
Ni  0.000  0.000  0.500 x1

- M_tot: 0.0 μB per cell

Model two:
SrTb2Ni: optimized geometry, PBE.

a b c (Å): 3.9489 3.9489 31.5393
angles (deg): 90.00 90.00 120.00
Space group R-3m (No. 166, hexagonal axes)
One atom of each set of equivalent atoms:
Sr  0.0000  0.0000  0.0000 x3
Tb  0.0000  0.0000  0.1208 x6
Ni  0.0000  0.0000  0.5000 x3

- M_tot: 0.0 μB per cell

The structure with the least stability is model two.

Model one:
SrTc2Ni: optimized geometry, PBE.

a b c (Å): 3.277 5.283 8.905
angles (deg): 90.00 90.00 90.00
Space group Imm2 (No. 44)
One atom of each set of equivalent atoms:
Sr  0.000  0.000  0.000 x2
Tc  0.000  0.000  0.502 x2
Tc  0.000  0.500  0.807 x2
Ni  0.000  0.500  0.210 x2

- M_tot: 0.0 μB per cell

Model two:
SrTc2Ni: optimized geometry, PBE.

a b c (Å): 3.232 3.232 7.235
angles (deg): 90.00 90.00 90.00
Space group P4/mmm (No. 123)
One atom of each set of equivalent atoms:
Sr  0.000  0.000  0.000 x1
Tc  0.500  0.500  0.341 x2
Ni  0.000  0.000  0.500 x1

- M_tot: 0.0 μB per cell

Model three:
SrTc2Ni: optimized geometry, PBE.

a b c (Å): 6.434 6.434 6.434
angles (deg): 90.00 90.00 90.00
Space group Fm-3m (No. 225)
One atom of each set of equivalent atoms:
Sr  0.000  0.000  0.000 x4
Tc  0.250  0.250  0.250 x8
Ni  0.000  0.000  0.500 x4

- M_tot: 0.0 μB per cell

The structure with the least stability is model three.

Model one:
SrTc2Ni: optimized geometry, PBE.

a b c (Å): 3.151 3.151 7.454
angles (deg): 90.00 90.00 90.00
Space group P4mm (No. 99)
One atom of each set of equivalent atoms:
Sr  0.000  0.000  0.000 x1
Tc  0.000  0.000  0.508 x1
Tc  0.500  0.500  0.337 x1
Ni  0.500  0.500  0.696 x1

- M_tot: 0.8 μB per cell

Model two:
SrTc2Ni: optimized geometry, PBE.

a b c (Å): 5.328 10.123 2.702
angles (deg): 90.00 109.87 90.00
Space group C2/m (No. 12)
One atom of each set of equivalent atoms:
Sr  0.000  0.000  0.000 x2
Tc  0.250  0.250  0.500 x4
Ni  0.000  0.500  0.000 x2

- M_tot: 0.0 μB per cell

Model three:
SrTc2Ni: optimized geometry, PBE.

a b c (Å): 2.778 4.655 10.629
angles (deg): 90.00 90.00 90.00
Space group Immm (No. 71)
One atom of each set of equivalent atoms:
Sr  0.000  0.000  0.000 x2
Tc  0.000  0.500  0.213 x4
Ni  0.000  0.000  0.500 x2

- M_tot: 0.0 μB per cell

Model four:
SrTc2Ni: optimized geometry, PBE.

a b c (Å): 4.005 4.639 4.462
angles (deg): 90.00 106.50 90.00
Space group P2/m (No. 10)
One atom of each set of equivalent atoms:
Sr  0.000  0.000  0.000 x1
Tc  0.315  0.500  0.660 x2
Ni  0.500  0.000  0.500 x1

- M_tot: 0.0 μB per cell

The structure with the least stability is model two.

Model one:
SrTc2Ni: optimized geometry, PBE.

a b c (Å): 4.649 4.649 17.413
angles (deg): 90.00 90.00 90.00
Space group I4_1/amd (No. 141, origin choice 2)
One atom of each set of equivalent atoms:
Sr  0.000  0.250  0.375 x4
Tc  0.000  0.000  0.000 x8
Ni  0.000  0.250  0.875 x4

- M_tot: 0.0 μB per cell

Model two:
SrTc2Ni: optimized geometry, PBE.

a b c (Å): 3.181 4.326 5.072
angles (deg): 90.00 90.00 90.00
Space group Pmmm (No. 47)
One atom of each set of equivalent atoms:
Sr  0.000  0.000  0.000 x1
Tc  0.000  0.500  0.500 x1
Tc  0.500  0.000  0.500 x1
Ni  0.500  0.500  0.000 x1

- M_tot: 0.0 μB per cell

The structure with the least stability is model one.